## FeHgAsOs (GGA-PBE)

Data for an optimized crystal structure of FeHgAsOs.

Calculated values
Magnetization, Bohr magnetons per cell: 2.63
ΔE to the lowest computed polymorph, meV per atom: 0

Cell lengths 4.4746, 4.4746, 4.4746 Å; angles 60.00, 60.00, 60.00 degrees
Atoms (fractional coordinates):
1 Fe 0.0000 0.0000 0.0000
2 Hg 0.2500 0.2500 0.2500
3 As 0.7500 0.7500 0.7500
4 Os 0.5000 0.5000 0.5000

***

## ScPAuO (GGA-PBE)

Data for an optimized crystal structure of ScPAuO.

Calculated values
Magnetization, Bohr magnetons per cell: 0.00
ΔE to the lowest computed polymorph, meV per atom: 162

Cell lengths 3.6424, 7.0532, 5.8263 Å; angles 90.00, 90.00, 90.00 degrees
Atoms (fractional coordinates):
1 Sc 0.0000 0.1706 0.0000
2 Sc 0.0000 0.8294 0.5000
3 P 0.0000 0.1996 0.4940
4 P 0.0000 0.8004 0.9940
5 Au 0.5000 0.4127 0.4898
6 Au 0.5000 0.5873 0.9898
7 O 0.5000 0.2683 0.9897
8 O 0.5000 0.7317 0.4897

***

## SmNpSn (GGA-PBE)

Data for an optimized crystal structure of SmNpSn.

Calculated values
Magnetization, Bohr magnetons per cell: 5.89
ΔE to the lowest computed polymorph, meV per atom: 0

Cell lengths 5.1625, 5.1625, 5.1625 Å; angles 60.00, 60.00, 60.00 degrees
Atoms (fractional coordinates):
1 Sm 0.0000 0.0000 0.0000
2 Np 0.7500 0.7500 0.7500
3 Sn 0.2500 0.2500 0.2500

***

## Be8Nb (GGA-PBE)

Data for an optimized crystal structure of Be8Nb.

Calculated values
E_tot, eV per atom: -3.713
Magnetization, Bohr magnetons per cell: 0.00

Cell lengths 7.8210, 7.8210, 2.2242 Å; angles 90.00, 90.00, 120.00 degrees
Atoms (fractional coordinates):
1 Be 0.1742 0.3485 0.0000
2 Be 0.1742 0.8258 0.0000
3 Be 0.3333 0.6667 0.0000
4 Be 0.3485 0.1742 0.0000
5 Be 0.6515 0.8258 0.0000
6 Be 0.6667 0.3333 0.0000
7 Be 0.8258 0.1742 0.0000
8 Be 0.8258 0.6515 0.0000
9 Nb 0.0000 0.0000 0.5000

***

## ScGaPt2 (GGA-PBE)

Data for an optimized crystal structure of ScGaPt2.

Calculated values
E_tot, eV per atom: -6.292
Magnetization, Bohr magnetons per cell: 0.00

Cell lengths 4.1150, 4.1150, 3.8561 Å; angles 90.00, 90.00, 90.00 degrees
Atoms (fractional coordinates):
1 Sc 0.0000 0.0000 0.0000
2 Ga 0.5000 0.5000 0.0000
3 Pt 0.0000 0.5000 0.5000
4 Pt 0.5000 0.0000 0.5000

***

## LuInGe2 (GGA-PBE)

Data for an optimized crystal structure of LuInGe2.

Calculated values
E_tot, eV per atom: -4.149
Magnetization, Bohr magnetons per cell: 0.00

Cell lengths 5.0454, 5.0454, 5.0454 Å; angles 60.00, 60.00, 60.00 degrees
Atoms (fractional coordinates):
1 Lu 0.0000 0.0000 0.0000
2 In 0.7500 0.7500 0.7500
3 Ge 0.2500 0.2500 0.2500
4 Ge 0.5000 0.5000 0.5000

***

## K2CuHgF6 (GGA-PBE)

Data for an optimized crystal structure of K2CuHgF6.

Calculated values
ΔE to the lowest computed polymorph, meV per atom: 0

Cell lengths 5.9610, 5.9610, 5.9610 Å; angles 121.59, 121.59, 87.27 degrees
Atoms (fractional coordinates):
1 K 0.2500 0.7500 0.5000
2 K 0.7500 0.2500 0.5000
3 Cu 0.0000 0.0000 0.0000
4 Hg 0.5000 0.5000 0.0000
5 F 0.1706 0.7082 0.8788
6 F 0.2381 0.2381 0.0000
7 F 0.2918 0.1706 0.4623
8 F 0.7082 0.8294 0.5377
9 F 0.7619 0.7619 0.0000
10 F 0.8294 0.2918 0.1212

***

## Ni9Ge2 (GGA-PBE)

Data for an optimized crystal structure of Ni9Ge2.

Calculated values
E_tot, eV per atom: -5.281
Magnetization, Bohr magnetons per cell: 4.58

Cell lengths 2.5815, 2.5815, 34.7031 Å; angles 90.00, 90.00, 120.00 degrees
Atoms (fractional coordinates):
1 Ni 0.0000 0.0000 0.0000
2 Ni 0.0000 0.0000 0.1715
3 Ni 0.0000 0.0000 0.8285
4 Ni 0.3333 0.6667 0.1145
5 Ni 0.3333 0.6667 0.7708
6 Ni 0.3333 0.6667 0.9427
7 Ni 0.6667 0.3333 0.0573
8 Ni 0.6667 0.3333 0.2292
9 Ni 0.6667 0.3333 0.8855
10 Ge 0.3333 0.6667 0.2882
11 Ge 0.6667 0.3333 0.7118

***

## CsTbCoSe3 (GGA-PBE)

Data for an optimized crystal structure of CsTbCoSe3.

Calculated values
E_tot, eV per atom: -4.693
Magnetization, Bohr magnetons per cell: 0.13

Cell lengths 8.7954, 8.7954, 9.2071 Å; angles 101.01, 101.01, 28.89 degrees
Atoms (fractional coordinates):
1 Cs 0.1561 0.1561 0.0620
2 Cs 0.8439 0.8439 0.9380
3 Tb 0.1629 0.1629 0.5726
4 Tb 0.8371 0.8371 0.4274
5 Co 0.4944 0.4944 0.7367
6 Co 0.5056 0.5056 0.2633
7 Se 0.0000 0.0000 0.5000
8 Se 0.3388 0.3388 0.6397
9 Se 0.3601 0.3601 0.2379
10 Se 0.5000 0.5000 0.0000
11 Se 0.6399 0.6399 0.7621
12 Se 0.6612 0.6612 0.3603

***

## GdMgZn (GGA-PBE)

Data for an optimized crystal structure of GdMgZn.

Calculated values
E_tot, eV per atom: -2.622
Magnetization, Bohr magnetons per cell: 0.01

Cell lengths 6.4055, 6.4832, 15.3099 Å; angles 93.17, 92.67, 117.96 degrees
Atoms (fractional coordinates):
1 Gd 0.0000 0.0000 0.0000
2 Gd 0.0531 0.5212 0.9596
3 Gd 0.2336 0.2359 0.8032
4 Gd 0.2997 0.7557 0.3295
5 Gd 0.4671 0.8427 0.6029
6 Gd 0.5878 0.3273 0.1360
7 Gd 0.7465 0.6999 0.7933
8 Gd 0.8615 0.9011 0.3054
9 Mg 0.0050 0.9175 0.6244
10 Mg 0.0883 0.3341 0.1707
11 Mg 0.3982 0.3128 0.3329
12 Mg 0.4803 0.3557 0.6103
13 Mg 0.5222 0.0327 0.9378
14 Mg 0.5281 0.7990 0.1179
15 Mg 0.8257 0.5967 0.4702
16 Mg 0.9700 0.3860 0.6385
17 Zn 0.0928 0.8024 0.1516
18 Zn 0.1470 0.3845 0.4711
19 Zn 0.2329 0.0275 0.4710
20 Zn 0.2551 0.7556 0.7793
21 Zn 0.5331 0.5139 0.9661
22 Zn 0.6899 0.1156 0.4584
23 Zn 0.7071 0.1682 0.7770
24 Zn 0.8269 0.3388 0.3135

***

## Dy3Ge13Os4 (GGA-PBE)

Data for an optimized crystal structure of Dy3Ge13Os4.

Calculated values
E_tot, eV per atom: -6.278
Magnetization, Bohr magnetons per cell: 0.00

Cell lengths 9.0639, 9.0639, 9.0639 Å; angles 90.00, 90.00, 90.00 degrees
Atoms (fractional coordinates):
1 Dy 0.0000 0.2500 0.5000
2 Dy 0.0000 0.7500 0.5000
3 Dy 0.2500 0.5000 0.0000
4 Dy 0.5000 0.0000 0.2500
5 Dy 0.5000 0.0000 0.7500
6 Dy 0.7500 0.5000 0.0000
7 Ge 0.0000 0.0000 0.0000
8 Ge 0.0000 0.2974 0.1454
9 Ge 0.0000 0.2974 0.8546
10 Ge 0.0000 0.7026 0.1454
11 Ge 0.0000 0.7026 0.8546
12 Ge 0.1454 0.0000 0.2974
13 Ge 0.1454 0.0000 0.7026
14 Ge 0.2026 0.5000 0.3546
15 Ge 0.2026 0.5000 0.6454
16 Ge 0.2974 0.1454 0.0000
17 Ge 0.2974 0.8546 0.0000
18 Ge 0.3546 0.2026 0.5000
19 Ge 0.3546 0.7974 0.5000
20 Ge 0.5000 0.3546 0.2026
21 Ge 0.5000 0.3546 0.7974
22 Ge 0.5000 0.5000 0.5000
23 Ge 0.5000 0.6454 0.2026
24 Ge 0.5000 0.6454 0.7974
25 Ge 0.6454 0.2026 0.5000
26 Ge 0.6454 0.7974 0.5000
27 Ge 0.7026 0.1454 0.0000
28 Ge 0.7026 0.8546 0.0000
29 Ge 0.7974 0.5000 0.3546
30 Ge 0.7974 0.5000 0.6454
31 Ge 0.8546 0.0000 0.2974
32 Ge 0.8546 0.0000 0.7026
33 Os 0.2500 0.2500 0.2500
34 Os 0.2500 0.2500 0.7500
35 Os 0.2500 0.7500 0.2500
36 Os 0.2500 0.7500 0.7500
37 Os 0.7500 0.2500 0.2500
38 Os 0.7500 0.2500 0.7500
39 Os 0.7500 0.7500 0.2500
40 Os 0.7500 0.7500 0.7500

***

## ErTh5C4 (GGA-PBE)

Data for an optimized crystal structure of ErTh5C4.

Calculated values
E_tot, eV per atom: -8.132
Magnetization, Bohr magnetons per cell: 0.01

Cell lengths 8.2419, 8.2419, 7.4892 Å; angles 102.32, 102.32, 25.71 degrees
Atoms (fractional coordinates):
1 Er 0.0000 0.0000 0.0000
2 Th 0.0000 0.0000 0.5000
3 Th 0.3378 0.3378 0.1584
4 Th 0.3418 0.3418 0.6918
5 Th 0.6582 0.6582 0.3082
6 Th 0.6622 0.6622 0.8416
7 C 0.1660 0.1660 0.0803
8 C 0.4973 0.4973 0.7498
9 C 0.5027 0.5027 0.2502
10 C 0.8340 0.8340 0.9197

***

## NbH10C4S2Cl4 (GGA-PBE)

Data for an optimized crystal structure of NbH10C4S2Cl4.

Calculated values
E_tot, eV per atom: -5.015
Magnetization, Bohr magnetons per cell: 2.03

Cell lengths 7.4017, 11.5693, 8.1292 Å; angles 90.00, 116.55, 90.00 degrees
Atoms (fractional coordinates):
1 Nb 0.1932 0.0000 0.2479
2 Nb 0.8068 0.5000 0.7521
3 H 0.0112 0.4948 0.2742
4 H 0.0510 0.1284 0.6494
5 H 0.1018 0.6293 0.2310
6 H 0.2369 0.2965 0.7019
7 H 0.2551 0.8549 0.8654
8 H 0.2713 0.4441 0.6521
9 H 0.3039 0.3284 0.5208
10 H 0.4229 0.5445 0.9383
11 H 0.4277 0.0340 0.8206
12 H 0.4810 0.3356 0.0497
13 H 0.5190 0.8356 0.9503
14 H 0.5723 0.5340 0.1794
15 H 0.5771 0.0445 0.0617
16 H 0.6961 0.8284 0.4792
17 H 0.7287 0.9441 0.3479
18 H 0.7449 0.3549 0.1346
19 H 0.7631 0.7965 0.2981
20 H 0.8982 0.1293 0.7690
21 H 0.9490 0.6284 0.3506
22 H 0.9888 0.9948 0.7258
23 C 0.0244 0.0864 0.7576
24 C 0.3231 0.3548 0.6572
25 C 0.4028 0.8851 0.9696
26 C 0.4312 0.0138 0.9544
27 C 0.5688 0.5138 0.0456
28 C 0.5972 0.3851 0.0304
29 C 0.6769 0.8548 0.3428
30 C 0.9756 0.5864 0.2424
31 S 0.2421 0.1049 0.9768
32 S 0.4124 0.8396 0.1876
33 S 0.5876 0.3396 0.8124
34 S 0.7579 0.6049 0.0232
35 Cl 0.0242 0.6451 0.7285
36 Cl 0.0634 0.3942 0.9911
37 Cl 0.1971 0.8842 0.4905
38 Cl 0.4937 0.1038 0.4145
39 Cl 0.5063 0.6038 0.5855
40 Cl 0.8029 0.3842 0.5095
41 Cl 0.9366 0.8942 0.0089
42 Cl 0.9758 0.1451 0.2715

***

## MgHg2OsO6 (GGA-PBE)

Data for an optimized crystal structure of MgHg2OsO6.

Calculated values
E_tot, eV per atom: -5.232
Magnetization, Bohr magnetons per cell: 0.00

Cell lengths 5.5588, 5.5588, 5.5588 Å; angles 60.00, 60.00, 60.00 degrees
Atoms (fractional coordinates):
1 Mg 0.0000 0.0000 0.0000
2 Hg 0.2500 0.2500 0.2500
3 Hg 0.7500 0.7500 0.7500
4 Os 0.5000 0.5000 0.5000
5 O 0.2601 0.2601 0.7399
6 O 0.2601 0.7399 0.2601
7 O 0.2601 0.7399 0.7399
8 O 0.7399 0.2601 0.2601
9 O 0.7399 0.2601 0.7399
10 O 0.7399 0.7399 0.2601

***

## LuMgGaAu (GGA-PBE)

Data for an optimized crystal structure of LuMgGaAu.

Calculated values
Magnetization, Bohr magnetons per cell: 0.00
ΔE to the lowest computed polymorph, meV per atom: 0

Cell lengths 4.8277, 4.8277, 4.8277 Å; angles 60.00, 60.00, 60.00 degrees
Atoms (fractional coordinates):
1 Lu 0.0000 0.0000 0.0000
2 Mg 0.5000 0.5000 0.5000
3 Ga 0.2500 0.2500 0.2500
4 Au 0.7500 0.7500 0.7500

***

## AlW3CN (GGA-PBE)

Data for an optimized crystal structure of AlW3CN.

Calculated values
E_tot, eV per atom: -9.886
Magnetization, Bohr magnetons per cell: 0.61

Cell lengths 2.8970, 2.8970, 20.2102 Å; angles 90.00, 90.00, 120.00 degrees
Atoms (fractional coordinates):
1 Al 0.0000 0.0000 0.2464
2 Al 0.0000 0.0000 0.7536
3 W 0.0000 0.0000 0.0000
4 W 0.0000 0.0000 0.5000
5 W 0.3333 0.6667 0.6437
6 W 0.3333 0.6667 0.8642
7 W 0.6667 0.3333 0.1358
8 W 0.6667 0.3333 0.3563
9 C 0.3333 0.6667 0.0702
10 C 0.6667 0.3333 0.9298
11 N 0.3333 0.6667 0.4253
12 N 0.6667 0.3333 0.5747

***

## NaLuCdS3 (GGA-PBE)

Data for an optimized crystal structure of NaLuCdS3.

Calculated values
Magnetization, Bohr magnetons per cell: 0.01
ΔE to the lowest computed polymorph, meV per atom: 0

Cell lengths 7.7910, 3.9847, 10.4839 Å; angles 90.00, 107.76, 90.00 degrees
Atoms (fractional coordinates):
1 Na 0.1887 0.2500 0.1513
2 Na 0.8113 0.7500 0.8487
3 Lu 0.3274 0.7500 0.8606
4 Lu 0.6726 0.2500 0.1394
5 Cd 0.0582 0.2500 0.6144
6 Cd 0.9418 0.7500 0.3856
7 S 0.0820 0.2500 0.8583
8 S 0.2489 0.7500 0.5813
9 S 0.4395 0.7500 0.1278
10 S 0.5605 0.2500 0.8722
11 S 0.7511 0.2500 0.4187
12 S 0.9180 0.7500 0.1417

***

## KHoZnTe3 (GGA-PBE)

Data for an optimized crystal structure of KHoZnTe3.

Calculated values
Magnetization, Bohr magnetons per cell: 0.00
ΔE to the lowest computed polymorph, meV per atom: 0

Cell lengths 8.2354, 8.2354, 11.6411 Å; angles 90.00, 90.00, 149.25 degrees
Atoms (fractional coordinates):
1 K 0.2483 0.7517 0.7500
2 K 0.7517 0.2483 0.2500
3 Ho 0.0000 0.0000 0.0000
4 Ho 0.0000 0.0000 0.5000
5 Zn 0.4636 0.5364 0.2500
6 Zn 0.5364 0.4636 0.7500
7 Te 0.0692 0.9308 0.2500
8 Te 0.3703 0.6297 0.0603
9 Te 0.3703 0.6297 0.4397
10 Te 0.6297 0.3703 0.5603
11 Te 0.6297 0.3703 0.9397
12 Te 0.9308 0.0692 0.7500

***

## LaPaMo (GGA-PBE)

Data for an optimized crystal structure of LaPaMo.

Calculated values
Magnetization, Bohr magnetons per cell: 0.00
Formation energy, meV/atom: 590

Cell lengths 4.8815, 4.8815, 4.8815 Å; angles 60.00, 60.00, 60.00 degrees
Atoms (fractional coordinates):
1 La 0.0000 0.0000 0.0000
2 Pa 0.5000 0.5000 0.5000
3 Mo 0.2500 0.2500 0.2500

***

## Ni8W5 (GGA-PBE)

Data for an optimized crystal structure of Ni8W5.

Calculated values
Magnetization, Bohr magnetons per cell: 0.91
ΔE to the lowest computed polymorph, meV per atom: 29
Formation energy, meV/atom: 46

Cell lengths 9.0908, 9.0908, 9.0908 Å; angles 29.95, 29.95, 29.95 degrees
Atoms (fractional coordinates):
1 Ni 0.0463 0.0463 0.0463
2 Ni 0.0813 0.5891 0.5891
3 Ni 0.4109 0.4109 0.9187
4 Ni 0.4109 0.9187 0.4109
5 Ni 0.5891 0.0813 0.5891
6 Ni 0.5891 0.5891 0.0813
7 Ni 0.9187 0.4109 0.4109
8 Ni 0.9537 0.9537 0.9537
9 W 0.1441 0.1441 0.1441
10 W 0.3372 0.3372 0.3372
11 W 0.5000 0.5000 0.5000
12 W 0.6628 0.6628 0.6628
13 W 0.8559 0.8559 0.8559